DFT (GGA+U) results for a geometry-optimized CoAgAsO structure.

Calculated values
raw total energy	-0.16538	Ha/atom
M_tot	2.720	μB per formula unit

a = 3.1568 Å, b = 6.5099 Å, c = 6.2526 Å
α = 90.00°, β = 90.00°, γ = 90.00°
With the nearest neighbours (Å) after each atom.
Fractional coordinates of all 8 atoms:
Ag 0.0000 0.2566 0.0734  2 O 2.23-2.44
Ag 0.0000 0.7434 0.5734  2 O 2.23-2.44
Co 0.5000 0.7109 0.9805  2 O 1.89
Co 0.5000 0.2891 0.4805  2 O 1.89
As 0.5000 0.9542 0.2849  2 Co 2.48-2.50, 2 Ag 2.76
As 0.5000 0.0458 0.7849  2 Co 2.48-2.50, 2 Ag 2.76
O 0.0000 0.4365 0.4152  2 Co 1.89
O 0.0000 0.5635 0.9152  2 Co 1.89